CeTl2Sb, optimized geometry, DFT GGA-PBE; ΔE to the lowest computed polymorph = 2.378 eV/f.u.; calculated volume = 122.6 Å³/cell; formation energy from raw total energies = 16.4 kJ per mole of atoms; N(E_F) = 6.193 states/eV per cell
1.0
-2.8124 -1.6708 -1.0504
0.1882 -2.1882 -2.6421
1.6070 -10.2336 6.3561
Tl Sb Ce
2 1 1
Cartesian
-1.9528 -6.2797 -1.6398
0.9356 -7.8129 4.3034
-0.5086 -7.0463 1.3318
0.0000 0.0000 0.0000

---

TbAlZn3, optimized geometry, DFT GGA-PBE; calculated volume = 93.0 Å³/cell; N(E_F) = 2.408 states/eV per cell; formation energy = -328 meV per atom
1.0
4.1980 0.4771 0.0123
-0.4917 4.1963 0.0123
-1.8392 -2.3191 5.1972
Zn Tb Al
3 1 1
Cartesian
2.0925 0.2530 1.5471
-0.2303 2.0951 1.5471
-0.0020 -0.0025 0.1783
0.0096 0.0121 4.1686
1.8643 2.3508 2.9708

---

CoSiI2, optimized geometry, DFT GGA-PBE; ΔE to the lowest computed polymorph = 0.893 eV/f.u.; calculated volume = 91.4 Å³/cell; formation energy from raw total energies = 87.4 kJ per mole of atoms; N(E_F) = 3.975 states/eV per cell
1.0
0.0000 3.5758 3.5758
3.5758 0.0000 3.5758
3.5758 3.5758 0.0000
I Si Co
2 1 1
Cartesian
5.3637 5.3637 5.3637
1.7879 1.7879 1.7879
0.0000 0.0000 0.0000
3.5758 3.5758 3.5758